A) First-principles (GGA-PBE) data for a relaxed structure of TbY6Er3, as listed in Alexandria via LeMat-Bulk.

symmetry = No. 36
spin magnetization = 0.000 μB per atom
volume = 641.8 Å³ per cell

Lattice parameters (Å, degrees): 6.378 11.500 11.500 130.45 90.00 90.00
Sites, in units of the cell vectors:
Er: 0.488 0.958 0.705
Y: 0.070 0.379 0.260
Y: 0.327 0.104 0.542
Er: 0.488 0.295 0.042
Y: 0.818 0.015 0.985
Y: 0.318 0.985 0.015
Y: 0.286 0.699 0.301
Y: 0.827 0.542 0.104
Er: 0.595 0.582 0.418
Er: 0.095 0.418 0.582
Y: 0.827 0.896 0.458
Tb: 0.015 0.161 0.839
Y: 0.786 0.301 0.699
Y: 0.327 0.458 0.896
Tb: 0.515 0.839 0.161
Er: 0.988 0.705 0.958
Y: 0.070 0.740 0.621
Y: 0.570 0.260 0.379
Er: 0.988 0.042 0.295
Y: 0.570 0.621 0.740

B) First-principles (GGA-PBE) data for a relaxed structure of TbY6Er3, as listed in Alexandria via LeMat-Bulk.

symmetry = No. 36
spin magnetization = 0.000 μB per atom
volume = 645.5 Å³ per cell

Lattice parameters (Å, degrees): 6.228 10.928 10.928 119.80 90.00 90.00
Sites, in units of the cell vectors:
Y: 0.153 0.719 0.281
Y: 0.536 0.619 0.709
Y: 0.036 0.381 0.291
Er: 0.953 0.719 0.938
Y: 0.653 0.281 0.719
Y: 0.036 0.709 0.619
Er: 0.953 0.062 0.281
Y: 0.536 0.291 0.381
Y: 0.858 0.955 0.538
Y: 0.909 0.048 0.952
Er: 0.453 0.938 0.719
Er: 0.074 0.389 0.611
Y: 0.358 0.045 0.462
Tb: 0.654 0.794 0.206
Y: 0.858 0.462 0.045
Er: 0.574 0.611 0.389
Tb: 0.154 0.206 0.794
Er: 0.453 0.281 0.062
Y: 0.358 0.538 0.955
Y: 0.409 0.952 0.048

Which structure wins on stability? A) wins.